i.
First-principles (PBE+U) data for MgMoIO2 after structural relaxation, as listed in Alexandria via LeMat-Bulk.

```
MgMoIO2
1.0
4.016 0.000 0.000
0.000 4.016 0.000
0.000 0.000 6.945
I Mo Mg O
1 1 1 2
Direct
0.000 0.000 0.500
0.000 0.000 0.000
0.500 0.500 0.500
0.000 0.500 0.000
0.500 0.000 0.000
```

Values from the calculation:
The density comes out at 4.14 g cm⁻³.

***

ii.
First-principles (PBE+U) data for MgMoIO2 after structural relaxation, as listed in Alexandria via LeMat-Bulk.

```
MgMoIO2
1.0
4.106 0.000 0.000
0.000 5.807 0.000
0.000 0.000 4.106
I Mo Mg O
1 1 1 2
Direct
0.000 0.500 0.000
0.500 0.500 0.500
0.000 0.000 0.000
0.000 0.000 0.500
0.500 0.000 0.000
```

Values from the calculation:
The density comes out at 4.74 g cm⁻³.

***

What should be chosen as the least stable of them? Choose ii.